(1)
Density functional theory data (GGA-PBE) for crystalline AgINO2 at its relaxed geometry.

a b c (Å): 3.8491 3.8491 7.8656
angles (deg): 90.00 90.00 90.00
Closest atoms and distances in Å follow each position.
Fractional coordinates of all 5 atoms:
I  0.0000  0.0000  0.5000  4 N 2.72
N  0.5000  0.5000  0.5000  4 I 2.72
Ag  0.0000  0.0000  0.0000  4 O 1.92
O  0.0000  0.5000  0.0000  2 Ag 1.92
O  0.5000  0.0000  0.0000  2 Ag 1.92

Properties
ρ = 4.0 g/cm³
Total magnetic moment = 2.728 μB per cell
SG = P4/mmm (123)
E_form (uncorrected) = 1.3742 eV/atom
V = 23.31 Å³ per atom



(2)
Density functional theory data (GGA-PBE) for crystalline AgINO2 at its relaxed geometry.

a b c (Å): 4.0713 4.0713 4.2257
angles (deg): 90.00 90.00 90.00
Closest atoms and distances in Å follow each position.
Fractional coordinates of all 5 atoms:
O  0.5000  0.0000  0.0000  2 Ag 2.04
O  0.0000  0.5000  0.0000  2 Ag 2.04
Ag  0.0000  0.0000  0.0000  4 O 2.04, 2 N 2.11
N  0.0000  0.0000  0.5000  2 Ag 2.11
I  0.5000  0.5000  0.5000  4 N 2.88, 8 O 2.93

Properties
ρ = 6.7 g/cm³
Total magnetic moment = 0.000 μB per cell
SG = P4/mmm (123)
E_form (uncorrected) = 1.2533 eV/atom
V = 14.01 Å³ per atom



Repeat the second record exactly.
Density functional theory data (GGA-PBE) for crystalline AgINO2 at its relaxed geometry.

a b c (Å): 4.0713 4.0713 4.2257
angles (deg): 90.00 90.00 90.00
Closest atoms and distances in Å follow each position.
Fractional coordinates of all 5 atoms:
O  0.5000  0.0000  0.0000  2 Ag 2.04
O  0.0000  0.5000  0.0000  2 Ag 2.04
Ag  0.0000  0.0000  0.0000  4 O 2.04, 2 N 2.11
N  0.0000  0.0000  0.5000  2 Ag 2.11
I  0.5000  0.5000  0.5000  4 N 2.88, 8 O 2.93

Properties
ρ = 6.7 g/cm³
Total magnetic moment = 0.000 μB per cell
SG = P4/mmm (123)
E_form (uncorrected) = 1.2533 eV/atom
V = 14.01 Å³ per atom



What is the E_form (uncorrected) in the second record? 1.2533 eV/atom